Computed, not measured: an optimized crystal structure of SrCoSnBi2 at the GGA-PBE level of DFT.

```
5
Lattice="-1.110 -1.660 -5.023 4.598 -1.715 -0.450 -1.596 -4.788 1.936" Properties=species:S:1:pos:R:3 pbc="T T T"
Sn 2.299 -0.857 -0.225
Sr 0.946 -4.081 -1.768
Bi -0.798 -2.394 0.968
Bi -0.555 -0.830 -2.511
Co 0.000 0.000 0.000
```

Calculated values
Energy of formation from the pure elements   -0.086 eV per atom
Space group   P4/mmm, No. 123

***

Computed, not measured: an optimized crystal structure of CoSn2BiTe at the GGA-PBE level of DFT.

```
5
Lattice="4.906 0.000 0.000 0.000 4.906 0.000 0.000 0.000 5.429" Properties=species:S:1:pos:R:3 pbc="T T T"
Bi 0.000 0.000 2.715
Sn 2.453 0.000 0.000
Sn 0.000 2.453 0.000
Te 2.453 2.453 2.715
Co 0.000 0.000 0.000
```

Calculated values
Formation energy without anion corrections   0.038 eV per atom
Space group   P4/mmm, No. 123

***

Computed, not measured: an optimized crystal structure of ZnCoSn2Bi at the GGA-PBE level of DFT.

```
5
Lattice="-4.206 2.265 -1.355 1.294 -0.453 -4.773 -2.211 -4.225 -0.198" Properties=species:S:1:pos:R:3 pbc="T T T"
Zn -1.106 -2.113 -0.099
Co 0.000 0.000 0.000
Sn 0.647 -0.226 -2.386
Sn -2.103 1.132 -0.677
Bi -2.562 -1.207 -3.163
```

Calculated values
Energy of formation from the pure elements   0.168 eV per atom
Space group   P4/mmm, No. 123

***

| no. | density of states at the Fermi level (states/eV/f.u.) | VASP energy (Ry/atom) | magnetic moment (μB/f.u.) |
| --- | --- | --- | --- |
| 1 | 4.2 | -0.30846 | 0.4 |
| 2 | 2.8 | -0.32260 | 0.0 |
| 3 | 4.1 | -0.28557 | 0.0 |